one.
Computed, not measured: a relaxed MnCd2Cu crystal at the PBE level of DFT.

Properties
Space group: Fm-3m
Calculated density: 8.32 g cm⁻³
DOS(E_F): 1.7 states/eV/f.u.

```
4
Lattice="-1.7908 1.6736 3.8850 -2.5878 3.7937 -0.1114 -4.5228 -0.2819 0.7523" Properties=species:S:1:pos:R:3 pbc="T T T"
Mn 0.0000 0.0000 0.0000
Cu -4.4507 2.5927 2.2629
Cd -2.2253 1.2963 1.1315
Cd -6.6760 3.8890 3.3944
```

two.
Computed, not measured: a relaxed MnCd2Cu crystal at the PBE level of DFT.

Properties
Space group: Pm
Calculated density: 8.21 g cm⁻³
DOS(E_F): 1.5 states/eV/f.u.

```
4
Lattice="-1.9784 1.7490 -1.6446 -0.7960 -2.4562 -1.6545 -6.1011 -3.9980 3.0876" Properties=species:S:1:pos:R:3 pbc="T T T"
Cd -5.9706 -3.9562 2.9750
Cd -2.9064 -0.7993 -0.2961
Cu -3.5811 -3.2675 0.8330
Mn -5.9671 -3.9073 0.0805
```

Least stable = one

one.
Computed, not measured: a relaxed MnCdCu crystal at the PBE level of DFT.

Properties
Space group: P3m1
Calculated density: 8.05 g cm⁻³
DOS(E_F): 1.8 states/eV/f.u.

```
3
Lattice="4.4574 0.0000 0.0000 -2.2287 3.8602 0.0000 0.0000 0.0000 2.7668" Properties=species:S:1:pos:R:3 pbc="T T T"
Cd 0.0000 0.0000 0.1528
Cu 2.2287 1.2867 0.8849
Mn 0.0000 2.5735 1.7292
```

two.
Computed, not measured: a relaxed MnCdCu crystal at the PBE level of DFT.

Properties
Space group: I4mm
Calculated density: 8.01 g cm⁻³
DOS(E_F): 1.4 states/eV/f.u.

```
3
Lattice="5.8215 0.0390 -0.0415 5.0449 2.9055 -0.0263 0.7767 0.1952 2.8598" Properties=species:S:1:pos:R:3 pbc="T T T"
Cd 0.8365 0.2114 2.8425
Cu 7.6137 2.0583 0.8761
Mn 3.9695 1.0652 1.9334
```

three.
Computed, not measured: a relaxed MnCdCu crystal at the PBE level of DFT.

Properties
Space group: F-43m
Calculated density: 6.85 g cm⁻³
DOS(E_F): 2.0 states/eV/f.u.

```
3
Lattice="-2.8714 2.1503 2.3588 0.4375 0.1899 4.2668 1.1052 3.6971 1.8822" Properties=species:S:1:pos:R:3 pbc="T T T"
Cd -0.6643 3.0187 4.2539
Cu -0.9965 4.5280 6.3808
Mn 0.0000 0.0000 0.0000
```

Least stable = three